Entry from the Alexandria database: an optimized crystal structure of CaTh2Tl (GGA-PBE).

a = 12.7982 Å, b = 12.7982 Å, c = 12.7982 Å
α = 15.52°, β = 15.52°, γ = 15.52°
Atoms (fractional coordinates):
Ca  0.0000  0.0000  0.0000
Th  0.0916  0.0916  0.0916
Th  0.9084  0.9084  0.9084
Tl  0.5000  0.5000  0.5000

Space-group type: R-3m, No. 166
Electronic total energy (eV per atom): -4.62
V (A^3/atom): 32.710
DFT formation energy (meV per atom): 178

***

Entry from the Alexandria database: an optimized crystal structure of CaTh4Tl5 (GGA-PBE).

a = 3.5685 Å, b = 3.5685 Å, c = 22.9021 Å
α = 90.00°, β = 90.00°, γ = 90.00°
Atoms (fractional coordinates):
Ca  0.0000  0.0000  0.0000
Th  0.0000  0.0000  0.1978
Th  0.0000  0.0000  0.3991
Th  0.0000  0.0000  0.6009
Th  0.0000  0.0000  0.8022
Tl  0.5000  0.5000  0.0971
Tl  0.5000  0.5000  0.2986
Tl  0.5000  0.5000  0.5000
Tl  0.5000  0.5000  0.7014
Tl  0.5000  0.5000  0.9029

Space-group type: P4/mmm, No. 123
Electronic total energy (eV per atom): -4.54
V (A^3/atom): 29.164
DFT formation energy (meV per atom): -193

***

Entry from the Alexandria database: an optimized crystal structure of CaTh2Tl3 (GGA-PBE).

a = 3.5800 Å, b = 3.5800 Å, c = 13.6274 Å
α = 90.00°, β = 90.00°, γ = 90.00°
Atoms (fractional coordinates):
Ca  0.0000  0.0000  0.0000
Th  0.0000  0.0000  0.3314
Th  0.0000  0.0000  0.6686
Tl  0.5000  0.5000  0.1629
Tl  0.5000  0.5000  0.5000
Tl  0.5000  0.5000  0.8371

Space-group type: P4/mmm, No. 123
Electronic total energy (eV per atom): -4.22
V (A^3/atom): 29.109
DFT formation energy (meV per atom): -230

***

Entry from the Alexandria database: an optimized crystal structure of CaThTlZn (GGA-PBE).

a = 5.3632 Å, b = 5.3632 Å, c = 5.3632 Å
α = 60.00°, β = 60.00°, γ = 60.00°
Atoms (fractional coordinates):
Ca  0.0000  0.0000  0.0000
Th  0.5000  0.5000  0.5000
Tl  0.2500  0.2500  0.2500
Zn  0.7500  0.7500  0.7500

Space-group type: F-43m, No. 216
Electronic total energy (eV per atom): -3.43
V (A^3/atom): 27.270
DFT formation energy (meV per atom): -168